{
  "formula": "CeSmTmMg",
  "functional": "PBE-GGA",
  "state": "relaxed",
  "lattice": [[0.0000, 3.8992, 3.8992], [3.8992, 0.0000, 3.8992], [3.8992, 3.8992, 0.0000]],
  "species": ["Ce", "Sm", "Tm", "Mg"],
  "frac_coords": [[0.0000, 0.0000, 0.0000], [0.5000, 0.5000, 0.5000], [0.2500, 0.2500, 0.2500], [0.7500, 0.7500, 0.7500]],
  "formation_enthalpy_0k_kj_per_mol_fu": 31,
  "energy_ev_per_cell": -16.396,
  "sg": "F-43m"
}